Record 1
Density functional theory data (PBE-GGA) for CdPtS2 after structural relaxation. Values from VASP.

**Raw formation energy**: -0.199 eV per atom
**Magnetization**: 0.000 μB/atom

Quantum ESPRESSO input file:
```
&SYSTEM
  ibrav = 0, nat = 8, ntyp = 3
/
ATOMIC_SPECIES
Cd 112.41 Cd.upf
Pt 195.08 Pt.upf
S 32.06 S.upf
CELL_PARAMETERS angstrom
-2.8184 2.8184 5.8269
2.8184 -2.8184 5.8269
2.8184 2.8184 -5.8269
ATOMIC_POSITIONS crystal
Cd 0.0000 0.0000 0.0000
Cd 0.7500 0.2500 0.5000
Pt 0.2500 0.7500 0.5000
Pt 0.5000 0.5000 0.0000
S 0.1665 0.6250 0.0415
S 0.3750 0.4165 0.5415
S 0.5835 0.1250 0.9585
S 0.8750 0.8335 0.4585
```

Record 2
Density functional theory data (PBE-GGA) for Cd2Pt2S after structural relaxation. Values from VASP.

**Raw formation energy**: -0.078 eV per atom
**Magnetization**: 0.000 μB/atom

Quantum ESPRESSO input file:
```
&SYSTEM
  ibrav = 0, nat = 10, ntyp = 3
/
ATOMIC_SPECIES
Cd 112.41 Cd.upf
Pt 195.08 Pt.upf
S 32.06 S.upf
CELL_PARAMETERS angstrom
6.7741 0.0000 0.0000
0.0000 6.7741 0.0000
0.0000 0.0000 4.0558
ATOMIC_POSITIONS crystal
Cd 0.1560 0.3440 0.0000
Cd 0.3440 0.8440 0.0000
Cd 0.6560 0.1560 0.0000
Cd 0.8440 0.6560 0.0000
Pt 0.1493 0.6493 0.5000
Pt 0.3507 0.1493 0.5000
Pt 0.6493 0.8507 0.5000
Pt 0.8507 0.3507 0.5000
S 0.0000 0.0000 0.5000
S 0.5000 0.5000 0.5000
```

Record 3
Density functional theory data (PBE-GGA) for Cd2PtS after structural relaxation. Values from VASP.

**Raw formation energy**: 0.010 eV per atom
**Magnetization**: 0.000 μB/atom

Quantum ESPRESSO input file:
```
&SYSTEM
  ibrav = 0, nat = 8, ntyp = 3
/
ATOMIC_SPECIES
Cd 112.41 Cd.upf
Pt 195.08 Pt.upf
S 32.06 S.upf
CELL_PARAMETERS angstrom
-3.0998 3.0998 5.7433
3.0998 -3.0998 5.7433
3.0998 3.0998 -5.7433
ATOMIC_POSITIONS crystal
Cd 0.1085 0.6250 0.9835
Cd 0.3750 0.3585 0.4835
Cd 0.6415 0.1250 0.0165
Cd 0.8750 0.8915 0.5165
Pt 0.2500 0.7500 0.5000
Pt 0.5000 0.5000 0.0000
S 0.0000 0.0000 0.0000
S 0.7500 0.2500 0.5000
```

Going through the records in order, we get E_tot values of -4.00 -3.69 -2.99 eV/atom.